[1]
## Sm3EuPd (GGA-PBE)

Data for Sm3EuPd after structural relaxation.

Output
Energy of formation from the pure elements   -0.14 eV/atom
SG   Pm-3m, No. 221

Lattice parameters (Å, degrees): 5.649 5.649 5.649 90.00 90.00 90.00
Each line ends with the local moment (μB).
Fractional positions:
1 Pd 0.000 0.000 0.000  0.05
2 Sm 0.500 0.000 0.000  0.11
3 Sm 0.000 0.000 0.500  0.11
4 Sm 0.000 0.500 0.000  0.11
5 Eu 0.500 0.500 0.500  6.95

[2]
## SmEu2Pd (GGA-PBE)

Data for SmEu2Pd after structural relaxation.

Output
Energy of formation from the pure elements   -0.27 eV/atom
SG   P4/mmm, No. 123
Excess energy over the best structure of this formula in the dataset   0.000 eV per atom

Lattice parameters (Å, degrees): 3.653 3.653 9.177 90.00 90.00 90.00
Each line ends with the local moment (μB).
Fractional positions:
1 Eu 0.000 0.000 0.809  6.85
2 Eu 0.000 0.000 0.191  6.85
3 Sm 0.500 0.500 0.500  0.04
4 Pd 0.500 0.500 0.000  -0.05

[3]
## SmEu2Pd (GGA-PBE)

Data for SmEu2Pd after structural relaxation.

Output
Energy of formation from the pure elements   -0.07 eV/atom
SG   R-3m, No. 166
Excess energy over the best structure of this formula in the dataset   0.201 eV per atom

Lattice parameters (Å, degrees): 3.790 3.790 11.072 80.15 80.15 60.00
Each line ends with the local moment (μB).
Fractional positions:
1 Eu 0.893 0.893 0.322  -6.90
2 Eu 0.107 0.107 0.678  -6.90
3 Pd 0.500 0.500 0.500  0.07
4 Sm 0.000 0.000 0.000  -0.18

[4]
## SmEuPd (GGA-PBE)

Data for SmEuPd after structural relaxation.

Output
Energy of formation from the pure elements   -0.41 eV/atom
SG   F-43m, No. 216
Excess energy over the best structure of this formula in the dataset   0.068 eV per atom

Lattice parameters (Å, degrees): 5.034 5.034 5.034 60.00 60.00 60.00
Each line ends with the local moment (μB).
Fractional positions:
1 Eu 0.000 0.000 0.000  6.85
2 Pd 0.250 0.250 0.250  -0.02
3 Sm 0.500 0.500 0.500  0.12

[5]
## SmEuZnPd (GGA-PBE)

Data for SmEuZnPd after structural relaxation.

Output
Energy of formation from the pure elements   -0.48 eV/atom
SG   F-43m, No. 216

Lattice parameters (Å, degrees): 5.146 5.146 5.146 60.00 60.00 60.00
Each line ends with the local moment (μB).
Fractional positions:
1 Eu 0.750 0.750 0.750  6.78
2 Sm 0.250 0.250 0.250  0.01
3 Pd 0.500 0.500 0.500  -0.02
4 Zn 0.000 0.000 0.000  0.00

[6]
## EuSnPd (GGA-PBE)

Data for EuSnPd after structural relaxation.

Output
Energy of formation from the pure elements   -0.75 eV/atom
SG   P-6m2, No. 187

Lattice parameters (Å, degrees): 3.946 4.696 4.696 120.00 90.00 90.00
Each line ends with the local moment (μB).
Fractional positions:
1 Pd 0.167 0.667 0.333  -0.03
2 Eu 0.667 0.333 0.667  6.75
3 Sn 0.167 0.000 0.000  -0.02

In the order shown, the computed total magnetic moment values come out to 1.641, 3.578, 3.681, 2.452, 1.746, 2.292 μB per atom.